Computed, not measured: a relaxed LiMgAu crystal at the GGA-PBEsol level of DFT.

Summary:
As for the offset from the most stable computed form: 0.000 eV/atom. The calculation puts the total energy at -18.2 eV per cell. Its formation energy is -0.49 eV/atom.

```
LiMgAu
1.0
4.502 0.000 0.000
-2.251 3.899 0.000
0.000 0.000 5.644
Li Mg Au
2 2 2
Cartesian
0.000 0.000 0.000
0.000 2.599 0.941
0.000 0.000 2.745
2.251 1.300 4.596
0.000 2.599 3.778
2.251 1.300 1.701
```

Computed, not measured: a relaxed LiMnAu2 crystal at the GGA-PBEsol level of DFT.

Summary:
The calculation puts the total energy at -20.3 eV per cell. Its formation energy is -0.19 eV/atom.

```
LiMnAu2
1.0
3.109 0.000 0.000
0.000 3.168 0.000
0.000 0.000 6.113
Li Mn Au
1 1 2
Cartesian
0.000 0.000 0.000
0.000 0.000 3.056
1.554 1.584 1.487
1.554 1.584 4.626
```

Computed, not measured: a relaxed LiMnAu2 crystal at the GGA-PBEsol level of DFT.

Summary:
The calculation puts the total energy at -19.8 eV per cell. Its formation energy is -0.06 eV/atom.

```
LiMnAu2
1.0
3.380 0.000 0.000
0.000 3.380 0.000
0.000 0.000 5.478
Li Mn Au
1 1 2
Cartesian
0.000 0.000 0.000
1.690 1.690 1.577
0.000 0.000 2.720
1.690 1.690 4.384
```

Computed, not measured: a relaxed LiMnAu2 crystal at the GGA-PBEsol level of DFT.

Summary:
The calculation puts the total energy at -40.7 eV per cell. Its formation energy is -0.19 eV/atom.

```
LiMnAu2
1.0
3.827 0.000 0.000
0.000 3.827 0.000
0.000 0.000 8.278
Li Mn Au
2 2 4
Cartesian
0.000 0.000 0.000
1.913 1.913 4.139
0.000 1.913 2.069
1.913 0.000 6.208
0.000 0.000 4.139
0.000 1.913 6.208
1.913 0.000 2.069
1.913 1.913 0.000
```

Computed, not measured: a relaxed LiMn2Au crystal at the GGA-PBEsol level of DFT.

Summary:
As for the offset from the most stable computed form: 0.000 eV/atom. The calculation puts the total energy at -98.4 eV per cell. Its formation energy is 0.20 eV/atom.

```
LiMn2Au
1.0
6.182 0.000 0.000
0.000 6.182 0.000
0.000 0.000 6.182
Li Mn Au
4 8 4
Cartesian
0.000 0.000 0.000
0.000 3.091 3.091
3.091 0.000 3.091
3.091 3.091 0.000
1.545 1.545 1.545
1.545 1.545 4.636
1.545 4.636 1.545
1.545 4.636 4.636
4.636 1.545 1.545
4.636 1.545 4.636
4.636 4.636 1.545
4.636 4.636 4.636
0.000 0.000 3.091
0.000 3.091 0.000
3.091 0.000 0.000
3.091 3.091 3.091
```

Computed, not measured: a relaxed LiMnAu2 crystal at the GGA-PBEsol level of DFT.

Summary:
The calculation puts the total energy at -40.4 eV per cell. Its formation energy is -0.16 eV/atom.

```
LiMnAu2
1.0
9.412 0.000 0.000
0.000 2.810 0.000
-0.740 0.000 4.617
Li Mn Au
2 2 4
Cartesian
0.000 0.000 0.000
4.706 1.405 0.000
1.736 0.000 3.147
6.442 1.405 3.147
2.175 1.405 0.823
4.296 0.000 2.325
6.882 0.000 0.823
9.002 1.405 2.325
```

Computed, not measured: a relaxed LiMn3Au crystal at the GGA-PBEsol level of DFT.

Summary:
The calculation puts the total energy at -29.8 eV per cell. Its formation energy is 1.07 eV/atom.

```
LiMn3Au
1.0
4.932 0.000 0.000
0.000 4.932 0.000
0.000 0.000 4.932
Li Mn Au
1 3 1
Cartesian
0.000 0.000 0.000
0.000 2.466 2.466
2.466 0.000 2.466
2.466 2.466 0.000
2.466 2.466 2.466
```

Computed, not measured: a relaxed LiMn2Au crystal at the GGA-PBEsol level of DFT.

Summary:
As for the offset from the most stable computed form: 0.236 eV/atom. The calculation puts the total energy at -71.0 eV per cell. Its formation energy is 0.44 eV/atom.

```
LiMn2Au
1.0
2.787 0.000 0.000
-1.393 2.413 0.000
0.000 0.000 27.279
Li Mn Au
3 6 3
Cartesian
0.000 0.000 0.000
0.000 1.609 18.186
1.393 0.804 9.093
0.000 0.000 6.812
0.000 0.000 20.468
0.000 1.609 11.374
0.000 1.609 24.998
1.393 0.804 2.281
1.393 0.804 15.905
0.000 0.000 13.640
0.000 1.609 4.547
1.393 0.804 22.733
```

Question: The lowest formation energy belongs to which entry?
Answer: LiMgAu

Question: total energy of number 3 (LiMnAu2)?
Answer: -19.8 eV per cell

Question: What is the total energy in the seventh record?
Answer: -29.8 eV per cell